Record 1
# TlOsAu2, optimized geometry, DFT GGA-PBE
data_TlOsAu2
_cell_length_a 2.764
_cell_length_b 3.845
_cell_length_c 7.512
_cell_angle_alpha 90.00
_cell_angle_beta 90.43
_cell_angle_gamma 90.00
_symmetry_space_group_name_H-M 'P 1 2/m 1'
_symmetry_Int_Tables_number 10
loop_
_symmetry_equiv_pos_as_xyz
'x,y,z'
'-x,-y,-z'
'-x,y,-z'
'x,-y,z'
loop_
_atom_site_label
_atom_site_type_symbol
_atom_site_fract_x
_atom_site_fract_y
_atom_site_fract_z
_atom_site_occupancy
Tl1 Tl 0.000 0.000 0.000 1
Os1 Os 0.000 0.000 0.500 1
Au1 Au 0.496 0.500 0.297 1
# Energy above the lowest structure with this stoichiometry, meV/atom: 52.6
# Crystal system: monoclinic
# Calculated formation energy, eV per atom: 0.65
# Magnetization, Bohr magnetons per cell: 0.0

***

Record 2
# TlOs2Au, optimized geometry, DFT GGA-PBE
data_TlOs2Au
_cell_length_a 2.899
_cell_length_b 2.899
_cell_length_c 8.552
_cell_angle_alpha 90.00
_cell_angle_beta 90.00
_cell_angle_gamma 90.00
_symmetry_space_group_name_H-M 'P 4 m m'
_symmetry_Int_Tables_number 99
loop_
_symmetry_equiv_pos_as_xyz
'x,y,z'
'-y,x,z'
'-x,-y,z'
'y,-x,z'
'-x,y,z'
'y,x,z'
'x,-y,z'
'-y,-x,z'
loop_
_atom_site_label
_atom_site_type_symbol
_atom_site_fract_x
_atom_site_fract_y
_atom_site_fract_z
_atom_site_occupancy
Tl1 Tl 0.000 0.000 0.000 1
Os1 Os 0.000 0.000 0.545 1
Os2 Os 0.500 0.500 0.729 1
Au1 Au 0.500 0.500 0.298 1
# Energy above the lowest structure with this stoichiometry, meV/atom: 21.5
# Crystal system: tetragonal
# Calculated formation energy, eV per atom: 0.48
# Magnetization, Bohr magnetons per cell: 0.0

***

Record 3
# TlOsAu2, optimized geometry, DFT GGA-PBE
data_TlOsAu2
_cell_length_a 3.067
_cell_length_b 4.709
_cell_length_c 5.087
_cell_angle_alpha 90.00
_cell_angle_beta 90.00
_cell_angle_gamma 90.00
_symmetry_space_group_name_H-M 'P m m 2'
_symmetry_Int_Tables_number 25
loop_
_symmetry_equiv_pos_as_xyz
'x,y,z'
'-x,-y,z'
'-x,y,z'
'x,-y,z'
loop_
_atom_site_label
_atom_site_type_symbol
_atom_site_fract_x
_atom_site_fract_y
_atom_site_fract_z
_atom_site_occupancy
Tl1 Tl 0.000 0.000 0.000 1
Os1 Os 0.000 0.500 0.336 1
Au1 Au 0.500 0.000 0.481 1
Au2 Au 0.500 0.500 0.813 1
# Energy above the lowest structure with this stoichiometry, meV/atom: 80.7
# Crystal system: orthorhombic
# Calculated formation energy, eV per atom: 0.67
# Magnetization, Bohr magnetons per cell: 0.0

***

Record 4
# TlOsAu2, optimized geometry, DFT GGA-PBE
data_TlOsAu2
_cell_length_a 6.649
_cell_length_b 6.649
_cell_length_c 6.649
_cell_angle_alpha 90.00
_cell_angle_beta 90.00
_cell_angle_gamma 90.00
_symmetry_space_group_name_H-M 'F m -3 m'
_symmetry_Int_Tables_number 225
_symmetry_space_group_name_Hall '-F 4 2 3'
loop_
_atom_site_label
_atom_site_type_symbol
_atom_site_fract_x
_atom_site_fract_y
_atom_site_fract_z
_atom_site_occupancy
Tl1 Tl 0.000 0.000 0.000 1
Os1 Os 0.000 0.000 0.500 1
Au1 Au 0.250 0.250 0.250 1
# Energy above the lowest structure with this stoichiometry, meV/atom: 262.6
# Crystal system: cubic
# Calculated formation energy, eV per atom: 0.86
# Magnetization, Bohr magnetons per cell: 0.0

***

Copy entry 4 word for word.
# TlOsAu2, optimized geometry, DFT GGA-PBE
data_TlOsAu2
_cell_length_a 6.649
_cell_length_b 6.649
_cell_length_c 6.649
_cell_angle_alpha 90.00
_cell_angle_beta 90.00
_cell_angle_gamma 90.00
_symmetry_space_group_name_H-M 'F m -3 m'
_symmetry_Int_Tables_number 225
_symmetry_space_group_name_Hall '-F 4 2 3'
loop_
_atom_site_label
_atom_site_type_symbol
_atom_site_fract_x
_atom_site_fract_y
_atom_site_fract_z
_atom_site_occupancy
Tl1 Tl 0.000 0.000 0.000 1
Os1 Os 0.000 0.000 0.500 1
Au1 Au 0.250 0.250 0.250 1
# Energy above the lowest structure with this stoichiometry, meV/atom: 262.6
# Crystal system: cubic
# Calculated formation energy, eV per atom: 0.86
# Magnetization, Bohr magnetons per cell: 0.0

***

Repeat the fourth record exactly.
# TlOsAu2, optimized geometry, DFT GGA-PBE
data_TlOsAu2
_cell_length_a 6.649
_cell_length_b 6.649
_cell_length_c 6.649
_cell_angle_alpha 90.00
_cell_angle_beta 90.00
_cell_angle_gamma 90.00
_symmetry_space_group_name_H-M 'F m -3 m'
_symmetry_Int_Tables_number 225
_symmetry_space_group_name_Hall '-F 4 2 3'
loop_
_atom_site_label
_atom_site_type_symbol
_atom_site_fract_x
_atom_site_fract_y
_atom_site_fract_z
_atom_site_occupancy
Tl1 Tl 0.000 0.000 0.000 1
Os1 Os 0.000 0.000 0.500 1
Au1 Au 0.250 0.250 0.250 1
# Energy above the lowest structure with this stoichiometry, meV/atom: 262.6
# Crystal system: cubic
# Calculated formation energy, eV per atom: 0.86
# Magnetization, Bohr magnetons per cell: 0.0